Compound: La2Pm8Tm
Source: the Alexandria database
Functional: PBE
Structure: optimized geometry

**ΔH_f (0 K)**: 0.019 eV per atom
**VASP energy**: -4.738 eV/atom

abc: 5.1753 8.1698 9.6672
angles: 104.70 105.53 90.00
Element x y z (fractional)
Pm 0.6804 0.9078 0.3607
Pm 0.5893 0.4506 0.1786
Pm 0.8653 0.8235 0.7305
Pm 0.9557 0.2709 0.9115
Pm 0.0443 0.7291 0.0885
Pm 0.3196 0.0922 0.6393
Pm 0.1347 0.1765 0.2695
Pm 0.4107 0.5494 0.8214
La 0.2267 0.6365 0.4534
La 0.7733 0.3634 0.5466
Tm 0.5000 0.0000 0.0000